Crystalline CrNiAuN2 at its relaxed geometry. Source: the Alexandria database, functional GGA-PBEsol.

Properties
formation energy (no corrections)	2.266	eV per atom

a = 3.855 Å, b = 3.855 Å, c = 5.135 Å
α = 90.00°, β = 90.00°, γ = 90.00°
Fractional coordinates of all 5 atoms:
Cr 0.000 0.000 0.000
Ni 0.500 0.500 0.000
Au 0.000 0.000 0.500
N 0.000 0.500 0.500
N 0.500 0.000 0.500

Crystalline Li5MnOF5 at its relaxed geometry. Source: the Alexandria database, functional GGA-PBEsol.

Properties
formation energy (no corrections)	-2.612	eV per atom

a = 3.391 Å, b = 3.391 Å, c = 12.418 Å
α = 90.00°, β = 90.00°, γ = 120.00°
Fractional coordinates of all 12 atoms:
Li 0.000 0.000 0.000
Li 0.000 0.000 0.320
Li 0.000 0.000 0.680
Li 0.333 0.667 0.158
Li 0.333 0.667 0.842
Mn 0.333 0.667 0.500
O 0.000 0.000 0.500
F 0.000 0.000 0.159
F 0.000 0.000 0.841
F 0.333 0.667 0.000
F 0.333 0.667 0.315
F 0.333 0.667 0.685

Crystalline BeSbTe2Os at its relaxed geometry. Source: the Alexandria database, functional GGA-PBEsol.

Properties
formation energy (no corrections)	1.173	eV per atom

a = 5.285 Å, b = 5.285 Å, c = 4.944 Å
α = 90.00°, β = 90.00°, γ = 90.00°
Fractional coordinates of all 5 atoms:
Be 0.000 0.000 0.000
Sb 0.500 0.500 0.000
Te 0.000 0.500 0.500
Te 0.500 0.000 0.500
Os 0.500 0.500 0.500

Crystalline HfZnAu3 at its relaxed geometry. Source: the Alexandria database, functional GGA-PBEsol.

Properties
calculated total energy	-21.8	eV per cell

a = 4.630 Å, b = 4.630 Å, c = 4.630 Å
α = 90.00°, β = 90.00°, γ = 90.00°
Fractional coordinates of all 5 atoms:
Hf 0.000 0.000 0.000
Zn 0.500 0.500 0.500
Au 0.000 0.500 0.500
Au 0.500 0.000 0.500
Au 0.500 0.500 0.000